A geometry-optimized RbNbB structure. Source: OQMD via LeMat-Bulk, functional PBE.

Values from the calculation:
- total moment (Bohr magnetons per cell) = 4.04
- polymorph energy (0 for the lowest one) (kJ/mol of formula units) = 0
- symmetry = F-43m (216)

Unit cell a=6.3040 b=6.3040 c=6.3040 alpha=90.00 beta=90.00 gamma=90.00
Closest atoms and distances in Å follow each position.
Fractional coordinates of all 12 atoms:
Rb1 0.0000 0.0000 0.0000  4 B 2.73
Rb2 0.0000 0.5000 0.5000  4 B 2.73
Rb3 0.5000 0.0000 0.5000  4 B 2.73
Rb4 0.5000 0.5000 0.0000  4 B 2.73
Nb1 0.0000 0.0000 0.5000  4 B 2.73
Nb2 0.0000 0.5000 0.0000  4 B 2.73
Nb3 0.5000 0.0000 0.0000  4 B 2.73
Nb4 0.5000 0.5000 0.5000  4 B 2.73
B1 0.2500 0.2500 0.7500  4 Nb 2.73, 4 Rb 2.73
B2 0.2500 0.7500 0.2500  4 Nb 2.73, 4 Rb 2.73
B3 0.7500 0.2500 0.2500  4 Nb 2.73, 4 Rb 2.73
B4 0.7500 0.7500 0.7500  4 Nb 2.73, 4 Rb 2.73